Entry 1:
First-principles (PBE-GGA) data for Pm12Ho5Sc2 after structural relaxation, as listed in Alexandria.

```
19
Lattice="-6.7157 -2.2199 -2.2161 6.5609 -7.8750 0.4021 -0.7590 -5.7376 8.0478" Properties=species:S:1:pos:R:3 pbc="T T T"
Pm -0.9318 -6.3744 3.2862
Pm 3.5246 -8.2990 4.1049
Pm -4.4385 -7.5336 2.1290
Pm 2.9121 -10.6959 1.8895
Pm 0.0179 -9.4582 2.9478
Pm -0.1661 -11.5252 5.7867
Pm -3.8260 -5.1367 4.3444
Pm -0.5922 -4.6194 6.4222
Pm -4.1403 -5.4288 -0.6723
Pm -0.3217 -11.2132 -0.1883
Pm -0.7478 -4.3074 0.4472
Pm 3.2264 -10.4038 6.9062
Ho -2.8481 -8.9150 5.1657
Ho 0.4854 -7.8762 6.4191
Ho -0.3795 -2.8688 4.0239
Ho 1.9342 -6.9176 1.0682
Ho -1.3993 -7.9564 -0.1852
Sc -4.6648 -1.5420 -1.5393
Sc -2.0509 -0.6779 -0.6768
```

Calculated values
Excess energy over the best structure of this formula in the dataset, eV/atom: 0.048



Entry 2:
First-principles (PBE-GGA) data for Pm2Ho3Sc3 after structural relaxation, as listed in Alexandria.

```
8
Lattice="-3.1675 1.2629 -0.7226 -1.9333 -5.5136 -1.1620 -6.7244 -6.8468 9.1024" Properties=species:S:1:pos:R:3 pbc="T T T"
Pm -4.6178 -4.4717 4.0193
Pm -7.2074 -6.6258 3.1985
Ho -2.5504 -2.1253 -0.9423
Ho -7.2898 -5.0552 6.3045
Ho -4.5354 -6.0422 0.9133
Sc -5.1588 -2.6701 1.1324
Sc -6.6664 -8.4273 6.0854
Sc 0.0000 0.0000 0.0000
```

Calculated values
Total DFT energy (no corrections), eV/atom: -5.226



Entry 3:
First-principles (PBE-GGA) data for Pm2Ho6Sc after structural relaxation, as listed in Alexandria.

```
9
Lattice="-0.9073 -2.4715 -2.1981 7.2313 -5.5211 3.2230 -9.6110 -2.9972 1.9767" Properties=species:S:1:pos:R:3 pbc="T T T"
Pm 1.0125 -6.3276 1.3416
Pm -4.2995 -4.6623 1.6600
Ho 4.4018 -4.9429 1.0650
Ho -2.3495 -7.7667 1.6726
Ho 1.9222 -3.0497 -0.0402
Ho 3.9187 -6.9309 3.4933
Ho -0.9375 -3.2232 1.3289
Ho -7.2057 -4.0589 -0.4918
Sc 0.0000 0.0000 0.0000
```

Calculated values
Excess energy over the best structure of this formula in the dataset, eV/atom: 0.000



Entry 4:
First-principles (PBE-GGA) data for Pm8Ho2Sc3 after structural relaxation, as listed in Alexandria.

```
13
Lattice="-0.8103 0.7840 -6.5440 -5.8353 -6.7082 -0.0811 -2.3943 7.9450 2.5096" Properties=species:S:1:pos:R:3 pbc="T T T"
Pm -2.6799 2.3844 -4.4040
Pm -4.4324 3.8392 1.3559
Pm -3.5251 5.2407 -1.7737
Pm -6.3600 -0.3637 0.2886
Pm -5.6570 2.7898 -1.8034
Pm -5.5148 -3.2200 -2.3417
Pm -4.6075 -1.8185 -5.4714
Pm -3.3829 -0.7690 -2.3121
Sc -0.9426 -1.0836 -0.0131
Sc -4.8927 -5.6246 -0.0680
Sc -0.4052 0.3920 -3.2720
Ho -2.3234 2.0330 -0.9919
Ho -6.7165 -0.0123 -3.1236
```

Calculated values
Excess energy over the best structure of this formula in the dataset, eV/atom: 0.061



Entry 5:
First-principles (PBE-GGA) data for PmHo12Sc7 after structural relaxation, as listed in Alexandria.

```
20
Lattice="8.9235 0.0000 -3.1549 -4.4617 7.7279 -3.1549 0.0000 0.0000 9.4648" Properties=species:S:1:pos:R:3 pbc="T T T"
Sc 2.2309 3.8640 -3.1549
Sc -2.2309 3.8640 3.1549
Sc 4.4617 0.0000 3.1549
Sc 0.0000 0.0000 4.7324
Sc 4.4617 0.0000 -1.5775
Sc -2.2309 3.8640 -1.5775
Sc 2.2309 3.8640 1.5775
Ho 5.3973 2.0302 6.3029
Ho 5.6290 5.6893 -2.9876
Ho 0.9405 5.6893 3.1618
Ho 3.5213 2.0386 -0.0069
Ho 1.1819 2.0302 3.3222
Ho 6.5743 0.0085 0.1673
Ho 4.4666 3.6591 3.1480
Ho -1.1673 2.0386 6.1426
Ho 3.2798 5.6978 -0.1673
Ho -0.0049 4.0688 0.0069
Ho -0.9356 5.6978 -3.1480
Ho -2.1126 7.7195 2.9876
Pm 0.0000 0.0000 0.0000
```

Calculated values
Excess energy over the best structure of this formula in the dataset, eV/atom: 0.413



Entry 6:
First-principles (PBE-GGA) data for Pm3Ho8Sc after structural relaxation, as listed in Alexandria.

```
12
Lattice="7.5238 -0.4376 -3.5421 -4.3859 6.9717 -1.2270 -0.2753 0.4376 8.3113" Properties=species:S:1:pos:R:3 pbc="T T T"
Ho -4.0655 6.4624 4.1893
Ho 0.1953 2.5940 1.6928
Ho -3.5454 5.6357 1.1830
Ho 5.1009 0.5093 -1.8494
Ho -3.0293 4.8153 6.5937
Ho 0.5561 5.2551 3.3602
Ho 2.5459 1.3360 -0.1819
Ho -1.3552 2.1542 6.2652
Sc 0.0000 0.0000 0.0000
Pm 0.4037 5.1193 -0.6135
Pm -2.3306 3.7046 3.5421
Pm 2.4589 1.8523 4.1557
```

Calculated values
Total DFT energy (no corrections), eV/atom: -4.164



Entry 7:
First-principles (PBE-GGA) data for Pm5HoSc2 after structural relaxation, as listed in Alexandria.

```
16
Lattice="-2.0427 7.8962 -3.8971 0.8099 -3.8152 -8.1547 -5.4271 -3.5513 6.1325" Properties=species:S:1:pos:R:3 pbc="T T T"
Sc -1.2029 4.5490 -3.7232
Sc -0.0299 -0.4680 -8.3287
Sc -0.0151 -0.1831 -3.4504
Sc -1.2177 4.2641 -8.6014
Pm -2.5226 1.7173 -2.5504
Pm -3.2852 -4.6856 -4.6406
Pm -1.3382 -2.9989 -2.2435
Pm -4.1373 -1.1876 -3.3689
Pm -0.6164 2.0405 -6.0259
Pm -3.3747 5.2153 -1.2787
Pm -1.7065 -1.7799 -5.8432
Pm -4.9535 2.3096 -0.0761
Pm -5.3217 3.5286 -3.6758
Pm 0.0000 0.0000 0.0000
Ho -3.0218 -0.7554 0.0533
Ho -3.6382 1.2851 -5.9726
```

Calculated values
Total DFT energy (no corrections), eV/atom: -4.991



Entry 8:
First-principles (PBE-GGA) data for Pm4Ho5Sc3 after structural relaxation, as listed in Alexandria.

```
12
Lattice="5.7553 0.0000 0.0000 2.8777 7.4763 -2.7492 2.8777 -0.6786 8.9406" Properties=species:S:1:pos:R:3 pbc="T T T"
Sc 5.7553 5.0273 0.4145
Sc 2.8777 3.3989 3.0957
Sc 5.7553 1.7704 5.7769
Ho 5.7553 3.3989 3.0957
Ho 8.6330 6.4052 4.4875
Ho 8.6330 3.3790 6.3651
Ho 2.8777 3.4187 -0.1737
Ho 2.8777 0.3925 1.7039
Pm 8.6330 6.8203 0.8171
Pm 5.7553 1.6318 -0.1489
Pm 2.8777 -0.0226 5.3743
Pm 5.7553 5.1660 6.3403
```

Calculated values
Total DFT energy (no corrections), eV/atom: -4.863



Entry 9:
First-principles (PBE-GGA) data for PmHoSc2 after structural relaxation, as listed in Alexandria.

```
4
Lattice="-2.1164 1.8989 1.9602 -0.2254 -0.6116 3.3916 7.3584 7.6062 3.6190" Properties=species:S:1:pos:R:3 pbc="T T T"
Sc 5.3615 5.8453 3.1687
Sc 1.2208 2.1940 2.2352
Pm 2.4954 4.4354 4.4825
Ho -1.5528 0.8656 3.5697
```

Calculated values
Excess energy over the best structure of this formula in the dataset, eV/atom: 0.016



Entry 10:
First-principles (PBE-GGA) data for PmHoSc2 after structural relaxation, as listed in Alexandria.

```
4
Lattice="5.4364 0.0000 0.0000 2.7182 4.7081 0.0000 2.7182 1.5694 4.4388" Properties=species:S:1:pos:R:3 pbc="T T T"
Pm 5.4364 3.1387 2.2194
Ho 0.0000 0.0000 0.0000
Sc 8.1546 4.7081 3.3291
Sc 2.7182 1.5694 1.1097
```

Calculated values
Excess energy over the best structure of this formula in the dataset, eV/atom: 0.028



Entry 11:
First-principles (PBE-GGA) data for Pm8HoSc3 after structural relaxation, as listed in Alexandria.

```
12
Lattice="7.9728 -1.3920 -2.3233 -5.7218 6.0792 -1.0978 1.0573 1.3775 8.2449" Properties=species:S:1:pos:R:3 pbc="T T T"
Sc -0.0346 4.2464 0.0668
Sc 3.3692 1.8731 4.7169
Sc 5.2458 1.5145 1.8501
Pm -3.0071 5.3376 1.4550
Pm 0.2832 1.8738 2.7940
Pm 5.3035 0.4890 -1.4603
Pm 2.2220 1.5672 -0.1850
Pm -0.1152 5.3305 3.3481
Pm 3.0090 4.1574 2.0541
Pm 0.3437 2.9512 6.1373
Pm -2.0120 5.5408 6.3095
Ho 1.8526 3.8576 -2.8157
```

Calculated values
Total DFT energy (no corrections), eV/atom: -5.085



Entry 12:
First-principles (PBE-GGA) data for PmHoSc4 after structural relaxation, as listed in Alexandria.

```
12
Lattice="6.1431 -0.4627 0.0000 -3.6097 8.3351 0.0000 0.0000 0.0000 6.6184" Properties=species:S:1:pos:R:3 pbc="T T T"
Sc 1.0951 1.0519 4.9638
Sc -0.2121 3.8842 4.9638
Sc -1.6105 6.6808 0.0237
Sc 1.4382 6.8205 1.6546
Sc 4.1439 1.1916 3.3329
Sc 2.7455 3.9882 1.6546
Sc -1.6105 6.6808 3.2854
Sc 4.1439 1.1916 6.5946
Pm 1.2697 6.7253 4.9638
Pm 1.2636 1.1471 1.6546
Ho -0.4507 4.0215 1.6546
Ho 2.9841 3.8509 4.9638
```

Calculated values
Excess energy over the best structure of this formula in the dataset, eV/atom: 0.072



Entry 13:
First-principles (PBE-GGA) data for PmHo8Sc4 after structural relaxation, as listed in Alexandria.

```
13
Lattice="-1.6308 0.4197 -6.8802 0.0815 -6.2970 3.2426 -7.4520 2.7778 5.5821" Properties=species:S:1:pos:R:3 pbc="T T T"
Ho -2.2316 -0.7287 2.1278
Ho -6.8144 1.0882 -1.9644
Ho -6.0346 -2.5599 2.9176
Ho -2.1868 -4.1877 3.9090
Ho -3.4181 -3.7282 0.5827
Ho -6.7696 -2.3707 -0.1833
Ho -5.5832 0.6287 1.3618
Ho -2.9666 -0.5396 -0.9730
Pm -3.6852 -1.7596 4.4124
Sc 0.0408 -3.1485 1.6213
Sc -0.7746 -2.9386 -1.8188
Sc -0.8154 0.2099 -3.4401
Sc 0.0000 0.0000 0.0000
```

Calculated values
Total DFT energy (no corrections), eV/atom: -4.885



Entry 14:
First-principles (PBE-GGA) data for Pm3Ho12Sc after structural relaxation, as listed in Alexandria.

```
16
Lattice="-1.1339 -1.3230 -4.6842 4.7112 0.9103 -1.3975 4.8876 -18.9115 4.1582" Properties=species:S:1:pos:R:3 pbc="T T T"
Ho 5.4724 -14.4595 0.0931
Ho 1.2570 -7.7187 -0.7904
Ho 4.2325 -9.6621 -0.9618
Ho 0.0194 -2.9301 -1.8433
Ho 2.9419 -1.8135 -0.1999
Ho 2.4968 -12.5158 0.2644
Ho 3.7344 -17.3043 1.3173
Ho 6.6569 -16.1877 2.9606
Ho 4.1795 -6.6021 0.8530
Ho 1.7887 -0.2063 -3.0409
Ho 2.9926 -4.8647 -2.0166
Ho 5.4193 -11.3991 1.9077
Pm 1.2097 -4.6806 1.0291
Pm 2.4438 -9.4557 2.0791
Pm 3.6779 -14.2309 3.1290
Sc 0.0000 0.0000 0.0000
```

Calculated values
Total DFT energy (no corrections), eV/atom: -4.693



Entry 15:
First-principles (PBE-GGA) data for PmHo6Sc3 after structural relaxation, as listed in Alexandria.

```
20
Lattice="6.2026 0.0000 0.0000 0.0000 10.4942 -1.8219 0.0000 -4.1177 9.8230" Properties=species:S:1:pos:R:3 pbc="T T T"
Ho 2.1949 9.8355 -1.2969
Ho 5.2962 -3.4590 9.2981
Ho 2.2236 1.9290 8.5078
Ho 5.3249 4.4475 -0.5067
Ho 5.3249 7.8628 3.7789
Ho 4.1772 0.4442 6.1874
Ho 3.2600 1.5873 3.0544
Ho 0.1587 4.7891 4.9467
Ho 2.2236 -1.4864 4.2223
Ho 1.0759 5.9323 1.8137
Ho 0.1587 2.6232 2.2289
Ho 3.2600 3.7533 5.7722
Pm 4.3766 7.4046 0.6403
Pm 1.2752 -1.0282 7.3608
Sc 2.6404 2.9100 0.2162
Sc 3.9256 4.8637 2.6653
Sc 5.7417 3.4665 7.7850
Sc 2.6404 6.8151 5.1163
Sc 0.8243 1.5128 5.3358
Sc 5.7417 -0.4386 2.8848
```

Calculated values
Excess energy over the best structure of this formula in the dataset, eV/atom: 0.000



Entry 16:
First-principles (PBE-GGA) data for PmHo6Sc3 after structural relaxation, as listed in Alexandria.

```
10
Lattice="-2.1717 5.9426 7.2030 -9.1727 1.7809 2.1454 -3.7852 -0.3231 5.5056" Properties=species:S:1:pos:R:3 pbc="T T T"
Ho -4.5601 3.6550 6.1885
Ho -8.2136 6.2522 9.3324
Ho -9.9184 2.9433 5.3172
Ho -5.2147 4.2310 9.8386
Ho -10.6453 3.4328 8.8621
Ho -6.8377 0.8390 5.7226
Sc -7.5659 2.8256 8.1482
Sc -7.5632 4.9128 6.4270
Sc -3.7834 1.0586 4.3662
Pm -11.3455 6.8512 10.0677
```

Calculated values
Excess energy over the best structure of this formula in the dataset, eV/atom: 0.028



Entry 17:
First-principles (PBE-GGA) data for Pm2HoSc2 after structural relaxation, as listed in Alexandria.

```
10
Lattice="-2.5255 -3.8458 7.7508 8.7194 1.0087 -2.0489 -2.4776 5.0432 -0.3447" Properties=species:S:1:pos:R:3 pbc="T T T"
Ho 6.4007 1.5359 -0.6542
Ho -2.6844 0.6702 6.0113
Sc 3.9842 3.5491 0.1997
Sc -0.2169 1.7354 3.8610
Sc -0.2680 -1.3430 5.1574
Sc 3.9332 0.4707 1.4961
Pm 1.0054 2.1133 0.6223
Pm -1.6470 4.0245 1.6819
Pm 5.3633 -1.8185 3.6752
Pm 2.7108 0.0928 4.7348
```

Calculated values
Excess energy over the best structure of this formula in the dataset, eV/atom: 0.000



Entry 18:
First-principles (PBE-GGA) data for Pm12HoSc3 after structural relaxation, as listed in Alexandria.

```
16
Lattice="5.0471 0.0000 0.0000 0.0000 5.0471 0.0000 0.0000 0.0000 20.1554" Properties=species:S:1:pos:R:3 pbc="T T T"
Pm 0.0000 2.5236 12.5734
Pm 2.5236 0.0000 7.5820
Pm 2.5236 0.0000 12.5734
Pm 2.5236 0.0000 2.5880
Pm 2.5236 2.5236 10.0777
Pm 2.5236 2.5236 15.0680
Pm 0.0000 2.5236 7.5820
Pm 0.0000 2.5236 17.5674
Pm 0.0000 2.5236 2.5880
Pm 2.5236 2.5236 0.0000
Pm 2.5236 0.0000 17.5674
Pm 2.5236 2.5236 5.0874
Ho 0.0000 0.0000 0.0000
Sc 0.0000 0.0000 10.0777
Sc 0.0000 0.0000 5.0835
Sc 0.0000 0.0000 15.0719
```

Calculated values
Total DFT energy (no corrections), eV/atom: -5.004



Entry 19:
First-principles (PBE-GGA) data for Pm2HoSc5 after structural relaxation, as listed in Alexandria.

```
8
Lattice="6.7428 0.0339 0.0483 -3.2902 5.8856 -0.0483 -3.2902 -2.0475 5.5182" Properties=species:S:1:pos:R:3 pbc="T T T"
Sc 1.5430 1.0825 1.5428
Sc -3.4728 0.0414 4.2789
Sc -3.4728 4.0096 1.4945
Sc -1.8292 1.0669 1.5205
Sc -1.7458 3.0024 4.2789
Pm -0.1016 4.0258 1.5194
Pm -0.1016 0.0593 4.3026
Ho -5.1168 2.9844 4.2532
```

Calculated values
Total DFT energy (no corrections), eV/atom: -5.656



Entry 20:
First-principles (PBE-GGA) data for Pm2HoSc after structural relaxation, as listed in Alexandria.

```
4
Lattice="5.6004 0.0000 0.0000 2.8002 4.8501 0.0000 2.8002 1.6167 4.5727" Properties=species:S:1:pos:R:3 pbc="T T T"
Ho 0.0000 0.0000 0.0000
Pm 2.8002 1.6167 1.1432
Pm 8.4005 4.8501 3.4295
Sc 5.6004 3.2334 2.2863
```

Calculated values
Excess energy over the best structure of this formula in the dataset, eV/atom: 0.063



Listing calculated density for the structures above in their given order: 7.1 6.5 7.9 6.2 6.2 7.0 6.4 6.8 5.8 5.8 6.4 5.0 7.1 8.2 7.1 7.1 6.0 6.6 5.1 6.7 Mg/m³.
Listing D(E_F) for the structures above in their given order: 1.658 1.515 1.707 1.449 1.628 1.551 1.318 1.621 1.594 1.388 1.905 1.513 1.300 1.380 1.223 1.836 1.682 1.408 1.837 1.537 states/eV per atom.